1.
# Na6Tl10Pb

Na6Tl10Pb after structural relaxation (PBE, Alexandria via LeMat-Bulk).

Geometry as POSCAR:
```
Na6Tl10Pb
1.0
9.2618 0.0000 0.0000
-4.6309 8.0210 0.0000
0.0000 0.0000 6.6871
Na Tl Pb
6 10 1
Direct
0.0000 0.3601 0.3182
0.0000 0.6399 0.6818
0.3601 0.0000 0.3182
0.3601 0.3601 0.6818
0.6399 0.0000 0.6818
0.6399 0.6399 0.3182
0.0000 0.2886 0.8261
0.0000 0.7114 0.1739
0.2886 0.0000 0.8261
0.2886 0.2886 0.1739
0.3333 0.6667 0.0000
0.3333 0.6667 0.5000
0.6667 0.3333 0.0000
0.6667 0.3333 0.5000
0.7114 0.0000 0.1739
0.7114 0.7114 0.8261
0.0000 0.0000 0.5000
```

Properties
Its crystal system is trigonal. The formation energy comes out at -1.09 eV/f.u. As for the density of states at the Fermi level: 0.635 states/eV/atom. The space group is P-31m (162).

***

2.
# Na12Tl2Pb

Na12Tl2Pb after structural relaxation (PBE, Alexandria via LeMat-Bulk).

Geometry as POSCAR:
```
Na12Tl2Pb
1.0
6.6436 0.0000 0.0000
0.0000 6.6436 0.0000
0.0000 0.0000 24.0534
Na Tl Pb
24 4 2
Direct
0.0000 0.0000 0.0919
0.0000 0.0000 0.9081
0.0000 0.5000 0.0919
0.0000 0.5000 0.9081
0.0740 0.5740 0.4342
0.0740 0.9260 0.5658
0.2500 0.2500 0.2072
0.2500 0.2500 0.3325
0.2500 0.2500 0.6675
0.2500 0.2500 0.7928
0.4260 0.5740 0.5658
0.4260 0.9260 0.4342
0.5000 0.0000 0.0919
0.5000 0.0000 0.9081
0.5000 0.5000 0.0919
0.5000 0.5000 0.9081
0.5740 0.0740 0.5658
0.5740 0.4260 0.4342
0.7500 0.7500 0.2072
0.7500 0.7500 0.3325
0.7500 0.7500 0.6675
0.7500 0.7500 0.7928
0.9260 0.0740 0.4342
0.9260 0.4260 0.5658
0.2500 0.7500 0.2775
0.2500 0.7500 0.7225
0.7500 0.2500 0.2775
0.7500 0.2500 0.7225
0.2500 0.7500 0.0000
0.7500 0.2500 0.0000
```

Properties
Its crystal system is tetragonal. The formation energy comes out at 0.94 eV/f.u. As for the density of states at the Fermi level: 0.396 states/eV/atom. The space group is P4/nbm (125).

***

3.
# Na3Tl4Pb4

Na3Tl4Pb4 after structural relaxation (PBE, Alexandria via LeMat-Bulk).

Geometry as POSCAR:
```
Na3Tl4Pb4
1.0
3.5767 0.0000 0.0000
-1.7708 5.7501 0.0000
-0.0759 -0.0358 15.9008
Na Tl Pb
3 4 4
Direct
0.0000 0.0000 0.0000
0.1775 0.3524 0.7296
0.8225 0.6476 0.2704
0.3668 0.7340 0.4515
0.4505 0.8993 0.8184
0.5495 0.1007 0.1816
0.6332 0.2660 0.5485
0.0957 0.1925 0.3650
0.2715 0.5401 0.0878
0.7285 0.4599 0.9122
0.9043 0.8075 0.6350
```

Properties
The value obtained for the offset from the most stable computed form is 0 meV per atom. Its crystal system is triclinic. The formation energy comes out at -1.00 eV/f.u. As for the density of states at the Fermi level: 0.421 states/eV/atom. The space group is P-1 (2).

***

4.
# Na6Tl5Pb

Na6Tl5Pb after structural relaxation (PBE, Alexandria via LeMat-Bulk).

Geometry as POSCAR:
```
Na6Tl5Pb
1.0
5.2646 -7.4137 0.0000
5.2646 7.4137 0.0000
-2.3264 0.0000 4.3817
Na Tl Pb
6 5 1
Direct
0.0810 0.4140 0.7473
0.2451 0.2451 0.2448
0.4140 0.0810 0.7473
0.5860 0.9190 0.2527
0.7549 0.7549 0.7552
0.9190 0.5860 0.2527
0.1674 0.8326 0.0000
0.3374 0.6626 0.5000
0.5000 0.5000 0.0000
0.6626 0.3374 0.5000
0.8326 0.1674 0.0000
0.0000 0.0000 0.5000
```

Properties
The value obtained for the offset from the most stable computed form is 0 meV per atom. Its crystal system is monoclinic. The formation energy comes out at -1.25 eV/f.u. As for the density of states at the Fermi level: 0.425 states/eV/atom. The space group is C2/m (12).